A plane-wave DFT calculation with GGA-PBE was carried out for a relaxed structure of NaTmPb4.

Cell and atoms, written as POSCAR:
```
NaTmPb4
1.0
3.625 0.000 0.000
0.000 4.617 0.000
-1.000 0.000 10.638
Na Tm Pb
1 1 4
Direct
0.000 0.000 0.000 Na
0.500 0.500 0.500 Tm
0.005 0.000 0.343 Pb
0.442 0.500 0.822 Pb
0.558 0.500 0.178 Pb
0.995 0.000 0.657 Pb
```

Summary:
The calculation puts the distance to the lowest polymorph of the same formula at 0 meV/atom. The calculation puts the total magnetic moment at 0.00 μB/f.u.